Entry from Alexandria: U4As2PS after structural relaxation (PBE-GGA).

The structure in POSCAR format:
```
U4As2PS
1.0
6.888 0.000 0.000
0.000 3.992 0.000
-2.313 0.000 6.535
U As P S
4 2 1 1
Direct
0.245 0.000 0.235 U
0.255 0.500 0.765 U
0.745 0.500 0.235 U
0.755 0.000 0.765 U
0.000 0.000 0.500 As
0.500 0.500 0.500 As
0.000 0.500 0.000 P
0.500 0.000 0.000 S
```

Properties
The value obtained for the total magnetic moment is 8.97 μB per formula unit. Its symmetry is P2/m (10). For the formation energy from raw total energies, the calculation gives -91.1 kJ per mole of atoms. The value obtained for the total energy is -8.94 eV per atom.

***

Entry from Alexandria: U4AsP2S after structural relaxation (PBE-GGA).

The structure in POSCAR format:
```
U4AsP2S
1.0
6.843 0.000 0.000
0.000 3.951 0.000
-2.282 0.000 6.471
U As P S
4 1 2 1
Direct
0.240 0.000 0.240 U
0.245 0.500 0.755 U
0.755 0.500 0.245 U
0.760 0.000 0.760 U
0.500 0.500 0.500 As
0.000 0.500 0.000 P
0.500 0.000 0.000 P
0.000 0.000 0.500 S
```

Properties
The value obtained for the total magnetic moment is 8.57 μB per formula unit. Its symmetry is P2/m (10). For the formation energy from raw total energies, the calculation gives -96.9 kJ per mole of atoms. The value obtained for the total energy is -9.10 eV per atom.

***

Entry from Alexandria: U4AsPS2 after structural relaxation (PBE-GGA).

The structure in POSCAR format:
```
U4AsPS2
1.0
0.000 3.984 5.564
3.897 0.000 5.564
3.897 3.984 0.000
U As P S
4 1 1 2
Direct
0.000 0.000 0.500 U
0.245 0.245 0.755 U
0.500 0.500 0.000 U
0.755 0.755 0.245 U
0.500 0.500 0.500 As
0.000 0.000 0.000 P
0.250 0.250 0.250 S
0.750 0.750 0.750 S
```

Properties
The value obtained for the total magnetic moment is 8.64 μB per formula unit. Its symmetry is Fmmm (69). For the formation energy from raw total energies, the calculation gives -105.6 kJ per mole of atoms. The value obtained for the total energy is -9.03 eV per atom.

***

Entry from Alexandria: U6AsP2S3 after structural relaxation (PBE-GGA).

The structure in POSCAR format:
```
U6AsP2S3
1.0
8.472 -1.984 0.000
8.472 1.984 0.000
-1.487 0.000 7.616
U As P S
6 1 2 3
Direct
0.001 0.001 0.261 U
0.329 0.329 0.916 U
0.334 0.334 0.417 U
0.666 0.666 0.583 U
0.671 0.671 0.084 U
0.999 0.999 0.739 U
0.500 0.500 0.000 As
0.167 0.167 0.333 P
0.833 0.833 0.667 P
0.164 0.164 0.832 S
0.500 0.500 0.500 S
0.836 0.836 0.168 S
```

Properties
The value obtained for the total magnetic moment is 13.00 μB per formula unit. Its symmetry is C2/m (12). For the formation energy from raw total energies, the calculation gives -109.3 kJ per mole of atoms. The value obtained for the total energy is -9.10 eV per atom.

***

Entry from Alexandria: AsPWS2 after structural relaxation (PBE-GGA).

The structure in POSCAR format:
```
AsPWS2
1.0
4.567 0.000 0.000
0.000 4.567 0.000
0.000 0.000 5.024
As P W S
1 1 1 2
Direct
0.000 0.000 0.000 As
0.500 0.500 0.000 P
0.500 0.500 0.500 W
0.000 0.500 0.500 S
0.500 0.000 0.500 S
```

Properties
The value obtained for the total magnetic moment is 1.14 μB per formula unit. Its symmetry is P4/mmm (123). For the formation energy from raw total energies, the calculation gives 51.4 kJ per mole of atoms. The value obtained for the total energy is -5.72 eV per atom. The value obtained for the offset from the most stable computed form is 0 meV per atom.

***

Entry from Alexandria: AsPWS2 after structural relaxation (PBE-GGA).

The structure in POSCAR format:
```
AsPWS2
1.0
4.591 0.000 0.000
0.000 4.591 0.000
0.000 0.000 4.643
As P W S
1 1 1 2
Direct
0.000 0.000 0.000 As
0.000 0.000 0.500 P
0.500 0.500 0.500 W
0.000 0.500 0.000 S
0.500 0.000 0.000 S
```

Properties
The value obtained for the total magnetic moment is 2.44 μB per formula unit. Its symmetry is P4/mmm (123). For the formation energy from raw total energies, the calculation gives 132.7 kJ per mole of atoms. The value obtained for the total energy is -4.88 eV per atom. The value obtained for the offset from the most stable computed form is 843 meV per atom.

***

Entry from Alexandria: YAsP2S after structural relaxation (PBE-GGA).

The structure in POSCAR format:
```
YAsP2S
1.0
4.667 0.000 0.000
0.000 4.667 0.000
0.000 0.000 4.877
Y As P S
1 1 2 1
Direct
0.000 0.000 0.000 Y
0.500 0.500 0.500 As
0.000 0.500 0.500 P
0.500 0.000 0.500 P
0.500 0.500 0.000 S
```

Properties
The value obtained for the total magnetic moment is 0.00 μB per formula unit. Its symmetry is P4/mmm (123). For the formation energy from raw total energies, the calculation gives -3.5 kJ per mole of atoms. The value obtained for the total energy is -5.25 eV per atom. The value obtained for the offset from the most stable computed form is 0 meV per atom.

***

Entry from Alexandria: Y6AsP3S2 after structural relaxation (PBE-GGA).

The structure in POSCAR format:
```
Y6AsP3S2
1.0
8.737 -2.003 0.000
8.737 2.003 0.000
-1.861 0.000 7.793
Y As P S
6 1 3 2
Direct
0.001 0.001 0.246 Y
0.331 0.331 0.422 Y
0.336 0.336 0.912 Y
0.664 0.664 0.088 Y
0.669 0.669 0.578 Y
0.999 0.999 0.754 Y
0.500 0.500 0.500 As
0.167 0.167 0.332 P
0.500 0.500 0.000 P
0.833 0.833 0.668 P
0.168 0.168 0.836 S
0.832 0.832 0.164 S
```

Properties
The value obtained for the total magnetic moment is 0.00 μB per formula unit. Its symmetry is C2/m (12). For the formation energy from raw total energies, the calculation gives -173.4 kJ per mole of atoms. The value obtained for the total energy is -7.46 eV per atom.

***

- What is the total magnetic moment in the seventh record?
  0.00 μB per formula unit

***

- Number 4 is which compound?
  U6AsP2S3

***

Copy entry 6 word for word.
Entry from Alexandria: AsPWS2 after structural relaxation (PBE-GGA).

The structure in POSCAR format:
```
AsPWS2
1.0
4.591 0.000 0.000
0.000 4.591 0.000
0.000 0.000 4.643
As P W S
1 1 1 2
Direct
0.000 0.000 0.000 As
0.000 0.000 0.500 P
0.500 0.500 0.500 W
0.000 0.500 0.000 S
0.500 0.000 0.000 S
```

Properties
The value obtained for the total magnetic moment is 2.44 μB per formula unit. Its symmetry is P4/mmm (123). For the formation energy from raw total energies, the calculation gives 132.7 kJ per mole of atoms. The value obtained for the total energy is -4.88 eV per atom. The value obtained for the offset from the most stable computed form is 843 meV per atom.